(1)
# Ni9Sn2S2 | Alexandria | GGA-PBEsol | relaxed
# - ΔE_f (raw): -385.4 kJ/mol of formula units
# - Fermi-level density of states: 0.567 states/eV/atom
# - M_tot: 0.0 μB/f.u.
# - Total energy: -5.90 eV/atom
data_Ni9Sn2S2
_space_group_name_H-M_alt 'P 1'
_space_group_IT_number 1
_cell_length_a 3.656
_cell_length_b 3.656
_cell_length_c 12.616
_cell_angle_alpha 98.33
_cell_angle_beta 98.33
_cell_angle_gamma 90.00
loop_
_space_group_symop_operation_xyz
'x,y,z'
loop_
_atom_site_label
_atom_site_type_symbol
_atom_site_fract_x
_atom_site_fract_y
_atom_site_fract_z
_atom_site_occupancy
Ni1 Ni 0.750 0.250 0.500 1
Ni2 Ni 0.573 0.573 0.146 1
Ni3 Ni 0.348 0.848 0.697 1
Ni4 Ni 0.000 0.500 0.000 1
Ni5 Ni 0.500 0.000 0.000 1
Ni6 Ni 0.650 0.150 0.300 1
Ni7 Ni 0.152 0.652 0.303 1
Ni8 Ni 0.427 0.427 0.854 1
Ni9 Ni 0.850 0.350 0.700 1
S1 S 0.300 0.300 0.599 1
S2 S 0.700 0.700 0.401 1
Sn1 Sn 0.924 0.924 0.849 1
Sn2 Sn 0.076 0.076 0.151 1



(2)
# Ni3Sn2S2 | Alexandria | GGA-PBEsol | relaxed
# - ΔE_f (raw): -301.3 kJ/mol of formula units
# - Fermi-level density of states: 0.631 states/eV/atom
# - M_tot: 0.0 μB/f.u.
# - Total energy: -5.55 eV/atom
data_Ni3Sn2S2
_space_group_name_H-M_alt 'P 1'
_space_group_IT_number 1
_cell_length_a 5.353
_cell_length_b 5.353
_cell_length_c 5.353
_cell_angle_alpha 60.80
_cell_angle_beta 60.80
_cell_angle_gamma 60.80
loop_
_space_group_symop_operation_xyz
'x,y,z'
loop_
_atom_site_label
_atom_site_type_symbol
_atom_site_fract_x
_atom_site_fract_y
_atom_site_fract_z
_atom_site_occupancy
Ni1 Ni 0.000 0.500 0.500 1
Ni2 Ni 0.500 0.000 0.500 1
Ni3 Ni 0.500 0.500 0.000 1
Sn1 Sn 0.500 0.500 0.500 1
Sn2 Sn 0.000 0.000 0.000 1
S1 S 0.781 0.781 0.781 1
S2 S 0.219 0.219 0.219 1



(3)
# NiSn2TeS | Alexandria | GGA-PBEsol | relaxed
# - ΔE_f (raw): 76.2 kJ/mol of formula units
# - Fermi-level density of states: 0.732 states/eV/atom
# - M_tot: 0.0 μB/f.u.
# - Total energy: -4.36 eV/atom
data_NiSn2TeS
_space_group_name_H-M_alt 'P 1'
_space_group_IT_number 1
_cell_length_a 4.753
_cell_length_b 4.995
_cell_length_c 4.995
_cell_angle_alpha 90.00
_cell_angle_beta 90.00
_cell_angle_gamma 90.00
loop_
_space_group_symop_operation_xyz
'x,y,z'
loop_
_atom_site_label
_atom_site_type_symbol
_atom_site_fract_x
_atom_site_fract_y
_atom_site_fract_z
_atom_site_occupancy
Sn1 Sn 0.000 0.000 0.500 1
Sn2 Sn 0.000 0.500 0.000 1
S1 S 0.500 0.500 0.500 1
Ni1 Ni 0.000 0.000 0.000 1
Te1 Te 0.500 0.000 0.000 1



(4)
# Sr3NiS | Alexandria | GGA-PBEsol | relaxed
# - ΔE_f (raw): -111.8 kJ/mol of formula units
# - Fermi-level density of states: 0.792 states/eV/atom
# - M_tot: 0.0 μB/f.u.
# - Total energy: -3.44 eV/atom
data_Sr3NiS
_space_group_name_H-M_alt 'P 1'
_space_group_IT_number 1
_cell_length_a 5.464
_cell_length_b 5.464
_cell_length_c 5.464
_cell_angle_alpha 90.00
_cell_angle_beta 90.00
_cell_angle_gamma 90.00
loop_
_space_group_symop_operation_xyz
'x,y,z'
loop_
_atom_site_label
_atom_site_type_symbol
_atom_site_fract_x
_atom_site_fract_y
_atom_site_fract_z
_atom_site_occupancy
Ni1 Ni 0.000 0.000 0.000 1
Sr1 Sr 0.000 0.000 0.500 1
Sr2 Sr 0.000 0.500 0.000 1
Sr3 Sr 0.500 0.000 0.000 1
S1 S 0.500 0.500 0.500 1



(5)
# Ta2NiS5 | Alexandria | GGA-PBEsol | relaxed
# - ΔE_f (raw): -751.8 kJ/mol of formula units
# - Fermi-level density of states: 0.192 states/eV/atom
# - M_tot: 0.0 μB/f.u.
# - Total energy: -7.62 eV/atom
data_Ta2NiS5
_space_group_name_H-M_alt 'P 1'
_space_group_IT_number 1
_cell_length_a 3.357
_cell_length_b 6.430
_cell_length_c 14.962
_cell_angle_alpha 90.00
_cell_angle_beta 90.00
_cell_angle_gamma 105.13
loop_
_space_group_symop_operation_xyz
'x,y,z'
loop_
_atom_site_label
_atom_site_type_symbol
_atom_site_fract_x
_atom_site_fract_y
_atom_site_fract_z
_atom_site_occupancy
S1 S 0.414 0.828 0.363 1
S2 S 0.586 0.172 0.637 1
S3 S 0.148 0.296 0.450 1
S4 S 0.414 0.828 0.137 1
S5 S 0.852 0.704 0.950 1
S6 S 0.852 0.704 0.550 1
S7 S 0.148 0.296 0.050 1
S8 S 0.683 0.366 0.250 1
S9 S 0.586 0.172 0.863 1
S10 S 0.317 0.634 0.750 1
Ta1 Ta 0.778 0.556 0.107 1
Ta2 Ta 0.778 0.556 0.393 1
Ta3 Ta 0.222 0.444 0.607 1
Ta4 Ta 0.222 0.444 0.893 1
Ni1 Ni 0.301 0.602 0.250 1
Ni2 Ni 0.699 0.398 0.750 1



(6)
# Ta2NiS4 | Alexandria | GGA-PBEsol | relaxed
# - ΔE_f (raw): -659.0 kJ/mol of formula units
# - Fermi-level density of states: 0.501 states/eV/atom
# - M_tot: 0.0 μB/f.u.
# - Total energy: -7.95 eV/atom
data_Ta2NiS4
_space_group_name_H-M_alt 'P 1'
_space_group_IT_number 1
_cell_length_a 3.317
_cell_length_b 3.317
_cell_length_c 11.878
_cell_angle_alpha 90.00
_cell_angle_beta 90.00
_cell_angle_gamma 120.00
loop_
_space_group_symop_operation_xyz
'x,y,z'
loop_
_atom_site_label
_atom_site_type_symbol
_atom_site_fract_x
_atom_site_fract_y
_atom_site_fract_z
_atom_site_occupancy
S1 S 0.333 0.667 0.874 1
S2 S 0.333 0.667 0.613 1
S3 S 0.667 0.333 0.126 1
S4 S 0.667 0.333 0.387 1
Ta1 Ta 0.000 0.000 0.743 1
Ta2 Ta 0.000 0.000 0.257 1
Ni1 Ni 0.000 0.000 0.500 1